{
  "formula": "InTe2Cl",
  "functional": "PBE",
  "state": "optimized geometry",
  "lattice": [[8.0531, 0.0000, 0.0000], [0.0000, 5.5849, 0.0000], [0.0000, 0.0000, 12.0537]],
  "species": ["In", "In", "In", "In", "Te", "Te", "Te", "Te", "Te", "Te", "Te", "Te", "Cl", "Cl", "Cl", "Cl"],
  "frac_coords": [[0.2500, 0.0000, 0.0782], [0.2500, 0.5000, 0.4218], [0.7500, 0.0000, 0.9218], [0.7500, 0.5000, 0.5782], [0.0517, 0.1745, 0.5736], [0.0517, 0.3255, 0.9264], [0.4483, 0.6745, 0.9264], [0.4483, 0.8255, 0.5736], [0.5517, 0.1745, 0.4264], [0.5517, 0.3255, 0.0736], [0.9483, 0.6745, 0.0736], [0.9483, 0.8255, 0.4264], [0.1205, 0.2500, 0.2500], [0.3795, 0.7500, 0.2500], [0.6205, 0.2500, 0.7500], [0.8795, 0.7500, 0.7500]],
  "energy_ev_per_fu": -12.3,
  "polymorph_energy_mev_per_atom": 0.0,
  "formation_energy_uncorrected_ev_per_atom": -0.370
}

{
  "formula": "CsZrBi3",
  "functional": "PBE",
  "state": "optimized geometry",
  "lattice": [[5.8239, 0.0000, 0.0000], [0.0000, 5.8239, 0.0000], [0.0000, 0.0000, 5.8239]],
  "species": ["Cs", "Zr", "Bi", "Bi", "Bi"],
  "frac_coords": [[0.0000, 0.0000, 0.0000], [0.5000, 0.5000, 0.5000], [0.0000, 0.5000, 0.5000], [0.5000, 0.0000, 0.5000], [0.5000, 0.5000, 0.0000]],
  "e_form_ev_per_fu": -0.61,
  "energy_ev_per_fu": -21.7,
  "polymorph_energy_mev_per_atom": 0.0
}

Copy entry 2 word for word.
{
  "formula": "CsZrBi3",
  "functional": "PBE",
  "state": "optimized geometry",
  "lattice": [[5.8239, 0.0000, 0.0000], [0.0000, 5.8239, 0.0000], [0.0000, 0.0000, 5.8239]],
  "species": ["Cs", "Zr", "Bi", "Bi", "Bi"],
  "frac_coords": [[0.0000, 0.0000, 0.0000], [0.5000, 0.5000, 0.5000], [0.0000, 0.5000, 0.5000], [0.5000, 0.0000, 0.5000], [0.5000, 0.5000, 0.0000]],
  "e_form_ev_per_fu": -0.61,
  "energy_ev_per_fu": -21.7,
  "polymorph_energy_mev_per_atom": 0.0
}